[1]
DFT (PBE-GGA) results for a geometry-optimized BeBO2 structure.

## Properties
E_form (uncorrected) = -1.473 eV/atom
ΔE to the lowest computed polymorph = 0.000 eV/atom
ρ = 3.04 g cm⁻³
Uncorrected energy = -6.55 eV per atom
Crystal system = trigonal

Cell: 4.9208 4.9208 4.9208 Å, 31.14 31.14 31.14°
Last column: nearest neighbours and their distance in Å.
Positions (direct):
1 B 0.0000 0.0000 0.0000  2 O 1.38
2 O 0.0982 0.0982 0.0982  1 B 1.38
3 O 0.9018 0.9018 0.9018  1 B 1.38
4 Be 0.5000 0.5000 0.5000  6 O 1.80

[2]
DFT (PBE-GGA) results for a geometry-optimized NdAsPd structure.

## Properties
Formation enthalpy at 0 K = -1.181 eV/atom
ρ = 8.29 g cm⁻³
Uncorrected energy = -6.05 eV per atom
Crystal system = hexagonal

Cell: 4.3870 4.3870 7.8253 Å, 90.00 90.00 120.00°
Last column: nearest neighbours and their distance in Å.
Positions (direct):
1 Pd 0.3333 0.6667 0.2369  3 As 2.54
2 Pd 0.6667 0.3333 0.7369  3 As 2.54
3 Nd 0.0000 0.0000 0.9998  6 Pd 3.14-3.26, 6 As 3.14-3.26
4 As 0.3333 0.6667 0.7626  3 Pd 2.54
5 Nd 0.0000 0.0000 0.4998  6 Pd 3.14-3.26, 6 As 3.14-3.26
6 As 0.6667 0.3333 0.2626  3 Pd 2.54